NaNdDy: optimized geometry, PBE.

```
data_NaNdDy
_chemical_formula_sum 'Na4 Nd4 Dy4'
_cell_length_a 7.589
_cell_length_b 7.589
_cell_length_c 7.589
_cell_angle_alpha 90.00
_cell_angle_beta 90.00
_cell_angle_gamma 90.00
_symmetry_space_group_name_H-M 'F -4 3 m'
_symmetry_Int_Tables_number 216
_symmetry_space_group_name_Hall 'F -4 2 3'
loop_
_atom_site_label
_atom_site_type_symbol
_atom_site_fract_x
_atom_site_fract_y
_atom_site_fract_z
Na1 Na 0.000 0.000 0.000
Nd1 Nd 0.250 0.250 0.250
Dy1 Dy 0.250 0.250 0.750
```

Properties
Total DFT energy (no corrections) = -33.376 eV for the cell shown

NaDyNi: optimized geometry, PBE.

```
data_NaDyNi
_chemical_formula_sum 'Na4 Dy4 Ni4'
_cell_length_a 6.498
_cell_length_b 6.498
_cell_length_c 6.498
_cell_angle_alpha 90.00
_cell_angle_beta 90.00
_cell_angle_gamma 90.00
_symmetry_space_group_name_H-M 'F -4 3 m'
_symmetry_Int_Tables_number 216
_symmetry_space_group_name_Hall 'F -4 2 3'
loop_
_atom_site_label
_atom_site_type_symbol
_atom_site_fract_x
_atom_site_fract_y
_atom_site_fract_z
Na1 Na 0.000 0.000 0.000
Dy1 Dy 0.250 0.250 0.750
Ni1 Ni 0.250 0.250 0.250
```

Properties
Polymorph energy (0 for the lowest one) = 13.5 kJ per mole of atoms
Total DFT energy (no corrections) = -37.027 eV for the cell shown

NaDyNi: optimized geometry, PBE.

```
data_NaDyNi
_chemical_formula_sum 'Na4 Dy4 Ni4'
_cell_length_a 6.651
_cell_length_b 6.651
_cell_length_c 6.651
_cell_angle_alpha 90.00
_cell_angle_beta 90.00
_cell_angle_gamma 90.00
_symmetry_space_group_name_H-M 'F -4 3 m'
_symmetry_Int_Tables_number 216
_symmetry_space_group_name_Hall 'F -4 2 3'
loop_
_atom_site_label
_atom_site_type_symbol
_atom_site_fract_x
_atom_site_fract_y
_atom_site_fract_z
Na1 Na 0.000 0.000 0.000
Dy1 Dy 0.250 0.250 0.250
Ni1 Ni 0.000 0.000 0.500
```

Properties
Polymorph energy (0 for the lowest one) = 0.0 kJ per mole of atoms
Total DFT energy (no corrections) = -38.703 eV for the cell shown

NaDyNiSe3: optimized geometry, PBE.

```
data_NaDyNiSe3
_chemical_formula_sum 'Na4 Dy4 Ni4 Se12'
_cell_length_a 16.454
_cell_length_b 4.094
_cell_length_c 8.303
_cell_angle_alpha 90.00
_cell_angle_beta 104.62
_cell_angle_gamma 90.00
_symmetry_space_group_name_H-M 'C 1 2/m 1'
_symmetry_Int_Tables_number 12
_symmetry_space_group_name_Hall '-C 2y'
loop_
_atom_site_label
_atom_site_type_symbol
_atom_site_fract_x
_atom_site_fract_y
_atom_site_fract_z
Na1 Na 0.131 0.000 0.072
Dy1 Dy 0.172 0.000 0.604
Ni1 Ni 0.005 0.500 0.695
Se1 Se 0.000 0.000 0.500
Se2 Se 0.000 0.500 0.000
Se3 Se 0.152 0.500 0.353
Se4 Se 0.156 0.500 0.824
```

Properties
Total DFT energy (no corrections) = -112.195 eV for the cell shown

NaDyNiTe3: optimized geometry, PBE.

```
data_NaDyNiTe3
_chemical_formula_sum 'Na2 Dy2 Ni2 Te6'
_cell_length_a 8.853
_cell_length_b 4.207
_cell_length_c 9.934
_cell_angle_alpha 90.00
_cell_angle_beta 106.16
_cell_angle_gamma 90.00
_symmetry_space_group_name_H-M 'P 1 21/m 1'
_symmetry_Int_Tables_number 11
_symmetry_space_group_name_Hall '-P 2yb'
loop_
_atom_site_label
_atom_site_type_symbol
_atom_site_fract_x
_atom_site_fract_y
_atom_site_fract_z
Na1 Na 0.211 0.250 0.258
Dy1 Dy 0.319 0.750 0.852
Ni1 Ni 0.095 0.250 0.604
Te1 Te 0.071 0.250 0.855
Te2 Te 0.197 0.750 0.523
Te3 Te 0.437 0.750 0.172
```

Properties
Polymorph energy (0 for the lowest one) = 0.0 kJ per mole of atoms
Total DFT energy (no corrections) = -51.855 eV for the cell shown

NaDyNiTe3: optimized geometry, PBE.

```
data_NaDyNiTe3
_chemical_formula_sum 'Na4 Dy4 Ni4 Te12'
_cell_length_a 4.120
_cell_length_b 15.606
_cell_length_c 10.638
_cell_angle_alpha 90.00
_cell_angle_beta 90.00
_cell_angle_gamma 90.00
_symmetry_space_group_name_H-M 'C m c m'
_symmetry_Int_Tables_number 63
_symmetry_space_group_name_Hall '-C 2c 2'
loop_
_atom_site_label
_atom_site_type_symbol
_atom_site_fract_x
_atom_site_fract_y
_atom_site_fract_z
Na1 Na 0.000 0.249 0.250
Dy1 Dy 0.000 0.000 0.000
Ni1 Ni 0.000 0.488 0.750
Te1 Te 0.000 0.090 0.750
Te2 Te 0.000 0.368 0.587
```

Properties
Polymorph energy (0 for the lowest one) = 1.3 kJ per mole of atoms
Total DFT energy (no corrections) = -103.395 eV for the cell shown